No. 1
A plane-wave DFT calculation with PBE-GGA was carried out for Tb2HoSi after structural relaxation.

Lattice parameters (Å, degrees): 10.9683 10.9683 10.9683 18.80 18.80 18.80
Fractional coordinates of all 4 atoms:
Tb: 0.1063 0.1063 0.1063
Tb: 0.8937 0.8937 0.8937
Ho: 0.0000 0.0000 0.0000
Si: 0.5000 0.5000 0.5000

Computed properties:
- space-group type = R-3m
- E_tot (eV for the cell shown) = -19.122
- formation energy without anion corrections (eV/atom) = 0.03
- crystal system = trigonal

---

No. 2
A plane-wave DFT calculation with PBE-GGA was carried out for La2HoP3Rh12 after structural relaxation.

Lattice parameters (Å, degrees): 6.7943 6.7943 6.7943 81.79 81.79 81.79
Fractional coordinates of all 18 atoms:
La: 0.1168 0.1168 0.1168
La: 0.8832 0.8832 0.8832
Ho: 0.5000 0.5000 0.5000
P: 0.0000 0.5000 0.5000
P: 0.5000 0.0000 0.5000
P: 0.5000 0.5000 0.0000
Rh: 0.1502 0.1502 0.5836
Rh: 0.1502 0.5836 0.1502
Rh: 0.1531 0.6774 0.6774
Rh: 0.3226 0.3226 0.8469
Rh: 0.3226 0.8469 0.3226
Rh: 0.4164 0.8498 0.8498
Rh: 0.5836 0.1502 0.1502
Rh: 0.6774 0.1531 0.6774
Rh: 0.6774 0.6774 0.1531
Rh: 0.8469 0.3226 0.3226
Rh: 0.8498 0.4164 0.8498
Rh: 0.8498 0.8498 0.4164

Computed properties:
- space-group type = R-3m
- energy of formation (eV per atom) = -0.3821
- E_tot (eV for the cell shown) = -125.758
- crystal system = trigonal

---

No. 3
A plane-wave DFT calculation with PBE-GGA was carried out for In2IrBr after structural relaxation.

Lattice parameters (Å, degrees): 8.1477 8.1477 8.1477 134.66 134.66 66.06
Fractional coordinates of all 8 atoms:
In: 0.0522 0.6250 0.9272
In: 0.3750 0.3022 0.4272
In: 0.6978 0.1250 0.0728
In: 0.8750 0.9478 0.5728
Ir: 0.0000 0.0000 0.0000
Ir: 0.7500 0.2500 0.5000
Br: 0.2500 0.7500 0.5000
Br: 0.5000 0.5000 0.0000

Computed properties:
- space-group type = I-42d
- E_tot (eV for the cell shown) = -30.759
- formation energy without anion corrections (eV/atom) = 0.16
- crystal system = tetragonal

---

Copy entry 2 word for word.
A plane-wave DFT calculation with PBE-GGA was carried out for La2HoP3Rh12 after structural relaxation.

Lattice parameters (Å, degrees): 6.7943 6.7943 6.7943 81.79 81.79 81.79
Fractional coordinates of all 18 atoms:
La: 0.1168 0.1168 0.1168
La: 0.8832 0.8832 0.8832
Ho: 0.5000 0.5000 0.5000
P: 0.0000 0.5000 0.5000
P: 0.5000 0.0000 0.5000
P: 0.5000 0.5000 0.0000
Rh: 0.1502 0.1502 0.5836
Rh: 0.1502 0.5836 0.1502
Rh: 0.1531 0.6774 0.6774
Rh: 0.3226 0.3226 0.8469
Rh: 0.3226 0.8469 0.3226
Rh: 0.4164 0.8498 0.8498
Rh: 0.5836 0.1502 0.1502
Rh: 0.6774 0.1531 0.6774
Rh: 0.6774 0.6774 0.1531
Rh: 0.8469 0.3226 0.3226
Rh: 0.8498 0.4164 0.8498
Rh: 0.8498 0.8498 0.4164

Computed properties:
- space-group type = R-3m
- energy of formation (eV per atom) = -0.3821
- E_tot (eV for the cell shown) = -125.758
- crystal system = trigonal

---

Which value of E_tot does entry 2 give?
-125.758 eV for the cell shown